Record 1
Compound: KCu2Br
Source: Alexandria via LeMat-Bulk
Functional: PBE
Structure: optimized geometry

POSCAR file:
```
KCu2Br
1.0
6.6413 0.0233 -0.0399
5.5478 3.6510 -0.0399
-2.0403 -0.6150 4.9388
Br Cu K
1 2 1
Cartesian
2.5372 0.7648 1.2148 Br
4.2219 1.2727 3.0281 Cu
-1.1877 -0.3580 4.3402 Cu
7.6116 2.2945 3.6443 K
```

Output
ΔE_f (raw) = -0.116 eV per atom
M_tot = 0.00 μB per atom
Energy relative to the lowest polymorph listed for this composition = 35 meV/atom
Mass density = 3.4 Mg/m³

---

Record 2
Compound: RbH2BrO
Source: Alexandria via LeMat-Bulk
Functional: PBE
Structure: optimized geometry

POSCAR file:
```
RbH2BrO
1.0
-0.2462 2.1652 -3.6821
-0.1165 -6.5208 -1.3408
-7.2723 0.0267 0.5020
Rb H Br O
2 4 2 2
Cartesian
-5.6379 -4.1494 -2.0630 Rb
-1.9971 -0.1795 -2.4579 Rb
-3.3891 -3.6821 -4.4245 H
-0.9142 -3.6912 -4.5953 H
-6.7209 -0.6377 0.0744 H
-4.2459 -0.6468 -0.0964 H
-5.6569 -0.7030 -2.5210 Br
-1.9781 -3.6259 -1.9999 Br
0.0000 0.0000 0.0000 O
-3.6361 0.0134 0.2510 O
```

Output
M_tot = 0.00 μB per atom
Energy = -3.905 eV per atom
Mass density = 3.1 Mg/m³

---

Record 3
Compound: HfBMo2
Source: Alexandria via LeMat-Bulk
Functional: PBE
Structure: optimized geometry

POSCAR file:
```
HfBMo2
1.0
3.2500 0.0000 0.0000
0.0000 3.9493 0.0000
-1.6250 0.0000 9.4383
B Mo Hf
2 4 2
Cartesian
1.6250 2.9620 6.3840 B
0.0000 0.9873 3.0544 B
0.0000 0.9873 0.6891 Mo
1.6250 0.9873 4.7574 Mo
1.6250 2.9620 8.7493 Mo
0.0000 2.9620 4.6810 Mo
1.6250 2.9620 2.2077 Hf
0.0000 0.9873 7.2306 Hf
```

Output
M_tot = 0.00 μB per atom
Energy = -9.669 eV per atom
Mass density = 10.4 Mg/m³